LiTaSiO5 | the Alexandria database | PBE-GGA | optimized geometry; N(E_F) = 0.00 states/eV/f.u.
1.0
7.507 0.000 0.000
0.000 7.995 0.000
-3.697 0.000 6.582
Li Ta Si O
4 4 4 20
Direct
0.249 0.068 0.192
0.249 0.432 0.692
0.751 0.568 0.308
0.751 0.932 0.808
0.252 0.740 0.992
0.252 0.760 0.492
0.748 0.240 0.508
0.748 0.260 0.008
0.251 0.108 0.759
0.251 0.392 0.259
0.749 0.608 0.741
0.749 0.892 0.241
0.055 0.235 0.646
0.055 0.265 0.146
0.239 0.510 0.431
0.239 0.990 0.931
0.249 0.673 0.748
0.249 0.827 0.248
0.268 0.514 0.093
0.268 0.986 0.593
0.443 0.240 0.855
0.443 0.260 0.355
0.557 0.740 0.645
0.557 0.760 0.145
0.732 0.014 0.407
0.732 0.486 0.907
0.751 0.173 0.752
0.751 0.327 0.252
0.761 0.010 0.069
0.761 0.490 0.569
0.945 0.735 0.854
0.945 0.765 0.354

=====

LiTaSi2O8 | the Alexandria database | PBE-GGA | optimized geometry; N(E_F) = 4.99 states/eV/f.u.
1.0
-3.263 3.263 2.985
3.263 -3.263 2.985
3.263 3.263 -2.985
Li Ta Si O
1 1 2 8
Direct
0.000 0.000 0.000
0.250 0.750 0.500
0.500 0.500 0.000
0.750 0.250 0.500
0.342 0.138 0.796
0.342 0.546 0.204
0.378 0.066 0.313
0.454 0.658 0.796
0.753 0.066 0.687
0.862 0.658 0.204
0.934 0.247 0.313
0.934 0.622 0.687

=====

LiTaSiO5 | the Alexandria database | PBE-GGA | optimized geometry; N(E_F) = 0.00 states/eV/f.u.
1.0
3.743 -4.025 0.000
3.743 4.025 0.000
-3.642 0.000 6.554
Li Ta Si O
2 2 2 10
Direct
0.183 0.817 0.750
0.817 0.183 0.250
0.500 0.500 0.000
0.500 0.500 0.500
0.144 0.856 0.250
0.856 0.144 0.750
0.179 0.208 0.855
0.208 0.179 0.355
0.246 0.722 0.420
0.278 0.754 0.080
0.425 0.575 0.750
0.575 0.425 0.250
0.722 0.246 0.920
0.754 0.278 0.580
0.792 0.821 0.645
0.821 0.792 0.145

=====

LiSi2TeO8 | the Alexandria database | PBE-GGA | optimized geometry; N(E_F) = 7.07 states/eV/f.u.
1.0
-3.253 3.253 2.956
3.253 -3.253 2.956
3.253 3.253 -2.956
Li Si Te O
1 2 1 8
Direct
0.000 0.000 0.000
0.250 0.750 0.500
0.500 0.500 0.000
0.750 0.250 0.500
0.058 0.374 0.316
0.058 0.743 0.684
0.131 0.329 0.802
0.257 0.942 0.316
0.527 0.329 0.198
0.626 0.942 0.684
0.671 0.473 0.802
0.671 0.869 0.198

=====

LiSiTeO6 | the Alexandria database | PBE-GGA | optimized geometry; N(E_F) = 3.53 states/eV/f.u.
1.0
4.957 0.000 0.000
-2.479 4.293 0.000
0.000 0.000 9.146
Li Si Te O
2 2 2 12
Direct
0.000 0.000 0.000
0.000 0.000 0.500
0.333 0.667 0.250
0.667 0.333 0.750
0.333 0.667 0.750
0.667 0.333 0.250
0.023 0.374 0.139
0.023 0.649 0.361
0.351 0.374 0.361
0.351 0.977 0.139
0.374 0.023 0.639
0.374 0.351 0.861
0.626 0.649 0.139
0.626 0.977 0.361
0.649 0.023 0.861
0.649 0.626 0.639
0.977 0.351 0.639
0.977 0.626 0.861

=====

Li3TiSi6O15 | the Alexandria database | PBE-GGA | optimized geometry; N(E_F) = 1.59 states/eV/f.u.
1.0
7.131 -8.568 0.000
7.131 8.568 0.000
0.000 0.000 10.193
Li Ti Si O
12 4 24 60
Direct
0.016 0.484 0.750
0.059 0.941 0.822
0.239 0.239 0.000
0.261 0.261 0.500
0.441 0.559 0.322
0.484 0.016 0.250
0.516 0.984 0.750
0.559 0.441 0.678
0.739 0.739 0.500
0.761 0.761 0.000
0.941 0.059 0.178
0.984 0.516 0.250
0.157 0.343 0.250
0.343 0.157 0.750
0.657 0.843 0.250
0.843 0.657 0.750
0.018 0.767 0.487
0.040 0.189 0.806
0.083 0.699 0.958
0.189 0.040 0.194
0.199 0.583 0.458
0.233 0.982 0.487
0.267 0.518 0.987
0.301 0.917 0.958
0.311 0.460 0.694
0.417 0.801 0.458
0.460 0.311 0.306
0.482 0.733 0.987
0.518 0.267 0.013
0.540 0.689 0.694
0.583 0.199 0.542
0.689 0.540 0.306
0.699 0.083 0.042
0.733 0.482 0.013
0.767 0.018 0.513
0.801 0.417 0.542
0.811 0.960 0.806
0.917 0.301 0.042
0.960 0.811 0.194
0.982 0.233 0.513
0.005 0.284 0.916
0.010 0.641 0.831
0.030 0.259 0.666
0.061 0.939 0.191
0.093 0.907 0.501
0.096 0.256 0.415
0.113 0.674 0.515
0.141 0.510 0.331
0.147 0.167 0.161
0.161 0.839 0.922
0.167 0.147 0.839
0.174 0.613 0.015
0.216 0.495 0.584
0.241 0.470 0.834
0.244 0.404 0.085
0.256 0.096 0.585
0.259 0.030 0.334
0.284 0.005 0.084
0.326 0.887 0.515
0.333 0.353 0.339
0.339 0.661 0.422
0.353 0.333 0.661
0.359 0.990 0.831
0.387 0.826 0.015
0.404 0.244 0.915
0.407 0.593 0.001
0.439 0.561 0.691
0.470 0.241 0.166
0.490 0.859 0.331
0.495 0.216 0.416
0.505 0.784 0.584
0.510 0.141 0.669
0.530 0.759 0.834
0.561 0.439 0.309
0.593 0.407 0.999
0.596 0.756 0.085
0.613 0.174 0.985
0.641 0.010 0.169
0.647 0.667 0.339
0.661 0.339 0.578
0.667 0.647 0.661
0.674 0.113 0.485
0.716 0.995 0.916
0.741 0.970 0.666
0.744 0.904 0.415
0.756 0.596 0.915
0.759 0.530 0.166
0.784 0.505 0.416
0.826 0.387 0.985
0.833 0.853 0.161
0.839 0.161 0.078
0.853 0.833 0.839
0.859 0.490 0.669
0.887 0.326 0.485
0.904 0.744 0.585
0.907 0.093 0.499
0.939 0.061 0.809
0.970 0.741 0.334
0.990 0.359 0.169
0.995 0.716 0.084

=====

Li3TiSi6O15 | the Alexandria database | PBE-GGA | optimized geometry; N(E_F) = 4.01 states/eV/f.u.
1.0
14.861 0.000 0.000
0.000 8.073 0.000
0.000 0.000 10.033
Li Ti Si O
12 4 24 60
Direct
0.102 0.250 0.070
0.241 0.007 0.504
0.241 0.493 0.504
0.259 0.507 0.004
0.259 0.993 0.004
0.398 0.750 0.570
0.602 0.250 0.430
0.741 0.007 0.996
0.741 0.493 0.996
0.759 0.507 0.496
0.759 0.993 0.496
0.898 0.750 0.930
0.244 0.750 0.759
0.256 0.250 0.259
0.744 0.750 0.741
0.756 0.250 0.241
0.100 0.250 0.531
0.101 0.062 0.794
0.101 0.438 0.794
0.101 0.750 0.474
0.103 0.564 0.211
0.103 0.936 0.211
0.397 0.064 0.711
0.397 0.436 0.711
0.399 0.250 0.974
0.399 0.562 0.294
0.399 0.938 0.294
0.400 0.750 0.031
0.600 0.250 0.969
0.601 0.062 0.706
0.601 0.438 0.706
0.601 0.750 0.026
0.603 0.564 0.289
0.603 0.936 0.289
0.897 0.064 0.789
0.897 0.436 0.789
0.899 0.250 0.526
0.899 0.562 0.206
0.899 0.938 0.206
0.900 0.750 0.469
0.001 0.250 0.462
0.002 0.005 0.172
0.002 0.495 0.172
0.109 0.250 0.866
0.110 0.088 0.632
0.110 0.412 0.632
0.112 0.587 0.374
0.112 0.913 0.374
0.118 0.750 0.146
0.173 0.071 0.154
0.173 0.429 0.154
0.179 0.557 0.847
0.179 0.943 0.847
0.181 0.750 0.578
0.185 0.250 0.434
0.315 0.750 0.934
0.319 0.250 0.078
0.321 0.057 0.347
0.321 0.443 0.347
0.327 0.571 0.654
0.327 0.929 0.654
0.382 0.250 0.646
0.388 0.087 0.874
0.388 0.413 0.874
0.390 0.588 0.132
0.390 0.912 0.132
0.391 0.750 0.366
0.498 0.505 0.672
0.498 0.995 0.672
0.499 0.750 0.962
0.501 0.250 0.038
0.502 0.005 0.328
0.502 0.495 0.328
0.609 0.250 0.634
0.610 0.088 0.868
0.610 0.412 0.868
0.612 0.587 0.126
0.612 0.913 0.126
0.618 0.750 0.354
0.673 0.071 0.346
0.673 0.429 0.346
0.679 0.557 0.653
0.679 0.943 0.653
0.681 0.750 0.922
0.685 0.250 0.066
0.815 0.750 0.566
0.819 0.250 0.422
0.821 0.057 0.153
0.821 0.443 0.153
0.827 0.571 0.846
0.827 0.929 0.846
0.882 0.250 0.854
0.888 0.087 0.626
0.888 0.413 0.626
0.890 0.588 0.368
0.890 0.912 0.368
0.891 0.750 0.134
0.998 0.505 0.828
0.998 0.995 0.828
0.999 0.750 0.538

=====

First-principles (PBE-GGA) data for crystalline LiTiSi4O10 at its relaxed geometry, as listed in the Alexandria database.

Cell and atoms, written as POSCAR:
```
LiTiSi4O10
1.0
8.023 0.000 0.000
0.000 5.347 0.000
-4.171 0.000 10.804
Li Ti Si O
2 2 8 20
Direct
0.000 0.249 0.250
0.000 0.751 0.750
0.000 0.252 0.750
0.000 0.748 0.250
0.297 0.018 0.151
0.297 0.483 0.498
0.297 0.517 0.998
0.297 0.982 0.651
0.703 0.018 0.349
0.703 0.483 0.002
0.703 0.517 0.502
0.703 0.982 0.849
0.154 0.006 0.721
0.154 0.497 0.856
0.154 0.503 0.356
0.154 0.994 0.221
0.262 0.288 0.080
0.262 0.712 0.580
0.267 0.212 0.552
0.267 0.788 0.052
0.500 0.007 0.250
0.500 0.500 0.000
0.500 0.500 0.500
0.500 0.993 0.750
0.733 0.212 0.948
0.733 0.788 0.448
0.738 0.288 0.420
0.738 0.712 0.920
0.846 0.006 0.779
0.846 0.497 0.644
0.846 0.503 0.144
0.846 0.994 0.279
```

=====

First-principles (PBE-GGA) data for crystalline LiTiSi4O10 at its relaxed geometry, as listed in the Alexandria database.

Cell and atoms, written as POSCAR:
```
LiTiSi4O10
1.0
4.862 0.000 0.000
0.000 7.217 0.000
0.000 0.000 11.267
Li Ti Si O
2 2 8 20
Direct
0.000 0.000 0.000
0.000 0.500 0.500
0.500 0.000 0.120
0.500 0.500 0.620
0.037 0.212 0.737
0.037 0.288 0.237
0.465 0.713 0.896
0.465 0.787 0.396
0.535 0.213 0.396
0.535 0.287 0.896
0.963 0.712 0.237
0.963 0.788 0.737
0.000 0.000 0.690
0.000 0.500 0.190
0.183 0.156 0.140
0.183 0.344 0.640
0.228 0.205 0.858
0.228 0.295 0.358
0.273 0.703 0.772
0.273 0.797 0.272
0.326 0.659 0.496
0.326 0.841 0.996
0.500 0.000 0.441
0.500 0.500 0.941
0.674 0.159 0.996
0.674 0.341 0.496
0.727 0.203 0.272
0.727 0.297 0.772
0.772 0.705 0.358
0.772 0.795 0.858
0.817 0.656 0.640
0.817 0.844 0.140
```

=====

no.,total magnetic moment (μB/f.u.),total energy (eV per atom)
1,0.00,-8.257
2,2.04,-7.562
3,0.00,-8.250
4,1.03,-6.196
5,1.03,-5.998
6,1.00,-7.489
7,1.00,-7.487
8,1.00,-7.777
9,1.00,-7.766